DFT (GGA-PBEsol) results for crystalline MnCuNi2 at its relaxed geometry.

## Properties
Crystal system   orthorhombic
Calculated formation energy   0.08 eV per formula unit
Density of states at the Fermi level   0.87 states/eV/atom
SG   Pmmm (47)

abc: 2.6114 3.2925 5.1426
angles: 90.00 90.00 90.00
Positions (direct):
1 Mn 0.0000 0.0000 0.0000
2 Cu 0.0000 0.0000 0.5000
3 Ni 0.5000 0.5000 0.2508
4 Ni 0.5000 0.5000 0.7492



DFT (GGA-PBEsol) results for crystalline MgRhAu at its relaxed geometry.

## Properties
Crystal system   cubic
Calculated formation energy   0.36 eV per formula unit
Density of states at the Fermi level   0.67 states/eV/atom
SG   F-43m (216)
Relative energy among the computed polymorphs   289 meV/atom

abc: 4.1974 4.1974 4.1974
angles: 60.00 60.00 60.00
Positions (direct):
1 Mg 0.0000 0.0000 0.0000
2 Rh 0.2500 0.2500 0.2500
3 Au 0.7500 0.7500 0.7500



DFT (GGA-PBEsol) results for crystalline BaHgPb2 at its relaxed geometry.

## Properties
Crystal system   tetragonal
Calculated formation energy   -1.38 eV per formula unit
Density of states at the Fermi level   0.65 states/eV/atom
SG   P4/mmm (123)
Relative energy among the computed polymorphs   38 meV/atom

abc: 4.9375 4.9375 4.9950
angles: 90.00 90.00 90.00
Positions (direct):
1 Ba 0.0000 0.0000 0.0000
2 Hg 0.5000 0.5000 0.0000
3 Pb 0.0000 0.5000 0.5000
4 Pb 0.5000 0.0000 0.5000



DFT (GGA-PBEsol) results for crystalline Mn2NiOs at its relaxed geometry.

## Properties
Crystal system   tetragonal
Calculated formation energy   0.17 eV per formula unit
Density of states at the Fermi level   1.02 states/eV/atom
SG   I-4m2 (119)

abc: 4.3930 4.3930 4.3930
angles: 131.62 131.62 70.84
Positions (direct):
1 Mn 0.0000 0.0000 0.0000
2 Mn 0.7500 0.2500 0.5000
3 Ni 0.2500 0.7500 0.5000
4 Os 0.5000 0.5000 0.0000



DFT (GGA-PBEsol) results for crystalline AlSbMo2 at its relaxed geometry.

## Properties
Crystal system   tetragonal
Density of states at the Fermi level   0.84 states/eV/atom
Formation energy without anion corrections   0.2000 eV per atom
SG   I-4m2 (119)
Relative energy among the computed polymorphs   0 meV/atom

abc: 4.9799 4.9799 4.9799
angles: 132.67 132.67 69.17
Positions (direct):
1 Al 0.0000 0.0000 0.0000
2 Sb 0.2500 0.7500 0.5000
3 Mo 0.5000 0.5000 0.0000
4 Mo 0.7500 0.2500 0.5000



DFT (GGA-PBEsol) results for crystalline SnSbC2 at its relaxed geometry.

## Properties
Crystal system   cubic
Density of states at the Fermi level   0.73 states/eV/atom
Formation energy without anion corrections   2.0812 eV per atom
SG   Fm-3m (225)

abc: 4.3368 4.3368 4.3368
angles: 60.00 60.00 60.00
Positions (direct):
1 Sn 0.0000 0.0000 0.0000
2 Sb 0.5000 0.5000 0.5000
3 C 0.2500 0.2500 0.2500
4 C 0.7500 0.7500 0.7500